(1)
DFT (PBE-GGA) results for an optimized crystal structure of Ce2DyAl2Si2.

Calculated values
The value obtained for the formation energy from raw total energies is -0.3898 eV per atom. The density of states at the Fermi level comes out at 1.43 states/eV per atom.

Lattice parameters (Å, degrees): 4.3045 4.3045 27.1436 90.00 90.00 120.00
Space group R-3m (No. 166, hexagonal axes)
Unique sites:
Ce 0.0000 0.0000 0.1375
Dy 0.0000 0.0000 0.0000
Al 0.0000 0.0000 0.4040
Si 0.0000 0.0000 0.2649

(2)
DFT (PBE-GGA) results for an optimized crystal structure of PrTm2Be.

Calculated values
The value obtained for the relative energy among the computed polymorphs is 0.000 eV per atom. As for the formation energy: 21 kJ/mol of formula units. The density of states at the Fermi level comes out at 0.96 states/eV per atom.

Lattice parameters (Å, degrees): 3.429 3.429 8.805 90.00 90.00 90.00
Space group P4/mmm (No. 123)
Unique sites:
Pr 0.000 0.000 0.000
Tm 0.500 0.500 0.314
Be 0.000 0.000 0.500

(3)
DFT (PBE-GGA) results for an optimized crystal structure of Cs2MnPBr6.

Calculated values
The value obtained for the formation energy from raw total energies is -0.9274 eV per atom. The density of states at the Fermi level comes out at 0.00 states/eV per atom.

Lattice parameters (Å, degrees): 7.655 7.655 11.960 90.00 90.00 90.00
Space group I4/mmm (No. 139)
Unique sites:
Cs 0.000 0.500 0.250
Mn 0.000 0.000 0.000
P 0.000 0.000 0.500
Br 0.000 0.000 0.208
Br 0.238 0.238 0.500

(4)
DFT (PBE-GGA) results for an optimized crystal structure of DyPaNiIr.

Calculated values
The value obtained for the relative energy among the computed polymorphs is 0.000 eV per atom. As for the formation energy: -270 kJ/mol of formula units. The density of states at the Fermi level comes out at 0.89 states/eV per atom.

Lattice parameters (Å, degrees): 4.111 3.688 11.112 90.00 90.00 90.00
Space group Amm2 (No. 38)
Unique sites:
Dy 0.000 0.000 0.000
Pa 0.500 0.000 0.267
Ni 0.500 0.000 0.569
Ir 0.000 0.000 0.738

(5)
DFT (PBE-GGA) results for an optimized crystal structure of La7Re.

Calculated values
As for the formation energy: 248 kJ/mol of formula units. The density of states at the Fermi level comes out at 1.45 states/eV per atom.

Lattice parameters (Å, degrees): 9.979 9.979 9.979 90.00 90.00 90.00
Space group Fm-3m (No. 225)
Unique sites:
La 0.000 0.000 0.000
La 0.000 0.250 0.250
Re 0.000 0.000 0.500

(6)
DFT (PBE-GGA) results for an optimized crystal structure of Tl3NiSe.

Calculated values
The value obtained for the relative energy among the computed polymorphs is 0.817 eV per atom. The value obtained for the formation energy from raw total energies is 0.7898 eV per atom. The density of states at the Fermi level comes out at 3.74 states/eV per atom.

Lattice parameters (Å, degrees): 5.897 5.897 5.897 90.00 90.00 90.00
Space group Pm-3m (No. 221)
Unique sites:
Tl 0.000 0.000 0.500
Ni 0.500 0.500 0.500
Se 0.000 0.000 0.000

(7)
DFT (PBE-GGA) results for an optimized crystal structure of Pr3NdHo7.

Calculated values
The value obtained for the relative energy among the computed polymorphs is 0.000 eV per atom. As for the formation energy: 127 kJ/mol of formula units. The density of states at the Fermi level comes out at 1.55 states/eV per atom.

Lattice parameters (Å, degrees): 6.551 6.692 8.671 99.05 98.75 95.06
Space group P-1 (No. 2)
Unique sites:
Pr 0.000 0.000 0.000
Pr 0.201 0.563 0.161
Nd 0.500 0.000 0.500
Ho 0.014 0.765 0.584
Ho 0.273 0.277 0.784
Ho 0.442 0.793 0.856
Ho 0.500 0.500 0.500

(8)
DFT (PBE-GGA) results for an optimized crystal structure of Nd4CoAg.

Calculated values
The value obtained for the relative energy among the computed polymorphs is 0.000 eV per atom. As for the formation energy: -85 kJ/mol of formula units. The density of states at the Fermi level comes out at 0.97 states/eV per atom.

Lattice parameters (Å, degrees): 13.759 13.759 13.759 90.00 90.00 90.00
Space group F-43m (No. 216)
Unique sites:
Nd 0.000 0.000 0.189
Nd 0.060 0.250 0.250
Nd 0.098 0.098 0.598
Co 0.109 0.109 0.391
Ag 0.170 0.170 0.830

(9)
DFT (PBE-GGA) results for an optimized crystal structure of Cs3Pb2I3Br4.

Calculated values
The value obtained for the formation energy from raw total energies is -1.2493 eV per atom. The density of states at the Fermi level comes out at 0.00 states/eV per atom.

Lattice parameters (Å, degrees): 6.367 30.975 6.005 90.00 90.00 90.00
Space group Imm2 (No. 44)
Unique sites:
Cs 0.000 0.000 0.000
Cs 0.000 0.183 0.996
Pb 0.000 0.393 0.998
I 0.000 0.097 0.497
I 0.000 0.500 0.995
Br 0.000 0.298 0.000
Br 0.000 0.392 0.498

(10)
DFT (PBE-GGA) results for an optimized crystal structure of Al2CdSe.

Calculated values
The value obtained for the relative energy among the computed polymorphs is 0.117 eV per atom. The value obtained for the formation energy from raw total energies is -0.0145 eV per atom. The density of states at the Fermi level comes out at 0.28 states/eV per atom.

Lattice parameters (Å, degrees): 3.349 3.349 7.445 90.00 90.00 90.00
Space group P4mm (No. 99)
Unique sites:
Al 0.000 0.000 0.000
Al 0.500 0.500 0.231
Cd 0.000 0.000 0.496
Se 0.500 0.500 0.837

(11)
DFT (PBE-GGA) results for an optimized crystal structure of Ac6TbDy.

Calculated values
As for the formation energy: 277 kJ/mol of formula units. The density of states at the Fermi level comes out at 1.76 states/eV per atom.

Lattice parameters (Å, degrees): 9.781 7.760 10.135 90.00 107.63 90.00
Space group C2/m (No. 12)
Unique sites:
Ac 0.140 0.000 0.430
Ac 0.204 0.243 0.803
Tb 0.000 0.500 0.500
Dy 0.000 0.000 0.000

(12)
DFT (PBE-GGA) results for an optimized crystal structure of Tm4ZnRu3.

Calculated values
As for the formation energy: -356 kJ/mol of formula units. The density of states at the Fermi level comes out at 0.41 states/eV per atom.

Lattice parameters (Å, degrees): 4.779 4.779 6.835 90.00 90.00 90.00
Space group P4/mmm (No. 123)
Unique sites:
Tm 0.000 0.500 0.241
Zn 0.000 0.000 0.500
Ru 0.000 0.000 0.000
Ru 0.500 0.500 0.000
Ru 0.500 0.500 0.500